Record 1
The following is a DFT calculation (PBE) of CdSi3W after structural relaxation.

Cell and atoms, written as POSCAR:
```
CdSi3W
1.0
-4.6940 -0.9368 0.5662
0.8612 -1.6218 4.4565
-0.6756 4.4412 1.7468
Si W Cd
3 1 1
Direct
0.0000 0.5000 0.0000
0.0000 0.0000 0.5000
0.5000 0.0000 0.0000
0.0000 0.0000 0.0000
0.5000 0.5000 0.5000
```

Properties
total magnetic moment: 0.000 μB/cell
uncorrected formation energy: 0.531 eV per atom
distance to the lowest polymorph of the same formula: 0.0000 eV/atom

=====

Record 2
The following is a DFT calculation (PBE) of ZrNb2Re2 after structural relaxation.

Cell and atoms, written as POSCAR:
```
ZrNb2Re2
1.0
3.2211 0.0000 -0.4315
0.0000 4.6166 0.0000
-0.0686 0.0000 11.7268
Zr Nb Re
2 4 4
Direct
0.8541 0.7500 0.7083
0.1459 0.2500 0.2917
0.0486 0.7500 0.0971
0.9514 0.2500 0.9029
0.2443 0.7500 0.4886
0.7557 0.2500 0.5114
0.6477 0.7500 0.2954
0.3523 0.2500 0.7046
0.4537 0.7500 0.9074
0.5463 0.2500 0.0926
```

Properties
total magnetic moment: 0.000 μB/cell
E_form: -0.24 eV per atom
distance to the lowest polymorph of the same formula: 0.0000 eV/atom